# 1
Material: KSi2Au
Method: DFT, PBE-GGA
State: optimized geometry

magnetic moment: 0.000 μB/atom
Fermi-level density of states: 0.351 states/eV/atom
energy relative to the elements, uncorrected: 0.474 eV per atom
theoretical density: 6.01 Mg/m³
raw total energy: -13.3 eV per cell
V: 20.18 Å³ per atom
polymorph energy (0 for the lowest one): 512 meV per atom

Lattice parameters (Å, degrees): 5.8758 5.8758 2.7323 90.00 90.00 121.15
Sites, in units of the cell vectors:
K: 0.0000 0.0000 0.0000
Si: 0.0000 0.5000 0.5000
Si: 0.5000 0.0000 0.5000
Au: 0.5000 0.5000 0.0000

***

# 2
Material: K3SiAu
Method: DFT, PBE-GGA
State: optimized geometry

magnetic moment: 0.400 μB/atom
Fermi-level density of states: 0.839 states/eV/atom
energy relative to the elements, uncorrected: 0.329 eV per atom
theoretical density: 2.41 Mg/m³
raw total energy: -10.3 eV per cell
V: 47.11 Å³ per atom
polymorph energy (0 for the lowest one): 304 meV per atom

Lattice parameters (Å, degrees): 6.1758 6.1758 6.1758 90.00 90.00 90.00
Sites, in units of the cell vectors:
K: 0.0000 0.0000 0.5000
K: 0.0000 0.5000 0.0000
K: 0.5000 0.0000 0.0000
Si: 0.5000 0.5000 0.5000
Au: 0.0000 0.0000 0.0000

***

# 3
Material: K3Si4Au2
Method: DFT, PBE-GGA
State: optimized geometry

magnetic moment: 0.000 μB/atom
Fermi-level density of states: 0.343 states/eV/atom
energy relative to the elements, uncorrected: -0.031 eV per atom
theoretical density: 4.55 Mg/m³
raw total energy: -31.8 eV per cell
V: 25.30 Å³ per atom

Lattice parameters (Å, degrees): 7.0121 7.0121 9.2360 122.49 122.49 37.50
Sites, in units of the cell vectors:
K: 0.0000 0.0000 0.0000
K: 0.2700 0.2700 0.3506
K: 0.7300 0.7300 0.6494
Si: 0.0251 0.0251 0.6506
Si: 0.2430 0.2430 0.9320
Si: 0.7570 0.7570 0.0680
Si: 0.9749 0.9749 0.3494
Au: 0.4944 0.4944 0.2689
Au: 0.5056 0.5056 0.7311

***

# 4
Material: K2Si2Au
Method: DFT, PBE-GGA
State: optimized geometry

magnetic moment: 0.000 μB/atom
Fermi-level density of states: 0.771 states/eV/atom
energy relative to the elements, uncorrected: 0.054 eV per atom
theoretical density: 3.65 Mg/m³
raw total energy: -32.1 eV per cell
V: 30.12 Å³ per atom
polymorph energy (0 for the lowest one): 81 meV per atom

Lattice parameters (Å, degrees): 6.4751 6.4751 7.4951 90.00 90.00 73.42
Sites, in units of the cell vectors:
K: 0.1871 0.1871 0.0000
K: 0.1871 0.1871 0.5000
K: 0.8129 0.8129 0.0000
K: 0.8129 0.8129 0.5000
Si: 0.3618 0.6382 0.5873
Si: 0.3618 0.6382 0.9127
Si: 0.6382 0.3618 0.0873
Si: 0.6382 0.3618 0.4127
Au: 0.3193 0.6807 0.2500
Au: 0.6807 0.3193 0.7500

***

Copy entry 3 word for word.
Material: K3Si4Au2
Method: DFT, PBE-GGA
State: optimized geometry

magnetic moment: 0.000 μB/atom
Fermi-level density of states: 0.343 states/eV/atom
energy relative to the elements, uncorrected: -0.031 eV per atom
theoretical density: 4.55 Mg/m³
raw total energy: -31.8 eV per cell
V: 25.30 Å³ per atom

Lattice parameters (Å, degrees): 7.0121 7.0121 9.2360 122.49 122.49 37.50
Sites, in units of the cell vectors:
K: 0.0000 0.0000 0.0000
K: 0.2700 0.2700 0.3506
K: 0.7300 0.7300 0.6494
Si: 0.0251 0.0251 0.6506
Si: 0.2430 0.2430 0.9320
Si: 0.7570 0.7570 0.0680
Si: 0.9749 0.9749 0.3494
Au: 0.4944 0.4944 0.2689
Au: 0.5056 0.5056 0.7311

***

Question: Among the records above, which one has the highest theoretical density?
Answer: KSi2Au

***

Question: Look up the raw total energy of the fourth one.
Answer: -32.1 eV per cell